8
Lattice="-1.591 0.373 -5.083 2.027 -4.930 -0.301 -4.597 -1.342 1.990" Properties=species:S:1:pos:R:3 comment="RbMoF6, optimized geometry, DFT PBE with a Hubbard U" e_above_lowest_polymorph_ev_per_atom=0.000 pbc="T T T"
F -2.546 -1.870 -0.146
F -3.837 -2.739 -2.437
F -0.324 -3.160 -0.957
F -2.594 -4.561 -0.793
F -1.614 -4.030 -3.248
F -1.567 -1.338 -2.601
Mo -2.080 -2.950 -1.697
Rb 0.000 0.000 0.000